Record 1
HoTm2Ru: optimized geometry, GGA-PBE.

Structure (POSCAR):
```
HoTm2Ru
1.0
-0.282 -1.349 -3.155
2.752 -0.141 -2.064
3.238 -10.055 2.132
Ru Tm Ho
1 2 1
direct
0.500 0.500 0.500
0.893 0.893 0.321
0.107 0.107 0.679
0.000 0.000 0.000
```

* total moment: 0.101 μB per atom
* raw total energy: -22.50 eV/cell
* ΔE to the lowest computed polymorph: 439 meV/atom
* SG: No. 166

Record 2
Ho2TmRu2: optimized geometry, GGA-PBE.

Structure (POSCAR):
```
Ho2TmRu2
1.0
4.385 0.000 0.000
0.000 5.389 -0.644
0.000 -2.909 10.418
Ru Tm Ho
4 2 4
direct
0.250 0.908 0.654
0.250 0.318 0.955
0.750 0.092 0.346
0.750 0.682 0.045
0.250 0.795 0.216
0.750 0.205 0.784
0.250 0.771 0.884
0.750 0.721 0.472
0.250 0.279 0.528
0.750 0.229 0.116
```

* total moment: 0.000 μB per atom
* raw total energy: -66.99 eV/cell
* ΔE to the lowest computed polymorph: 107 meV/atom
* SG: No. 11

Record 3
HoTm3Ru4: optimized geometry, GGA-PBE.

Structure (POSCAR):
```
HoTm3Ru4
1.0
-3.554 -1.426 -2.812
4.383 -1.063 -5.000
1.231 -8.939 2.979
Tm Ru Ho
6 8 2
direct
0.000 0.000 0.000
0.000 0.000 0.500
0.500 0.000 0.250
0.500 0.500 0.250
0.500 0.000 0.750
0.500 0.500 0.750
0.000 0.751 0.750
0.500 0.751 0.500
0.500 0.751 0.000
0.000 0.249 0.750
0.000 0.751 0.250
0.000 0.249 0.250
0.500 0.249 0.500
0.500 0.249 0.000
0.000 0.500 0.500
0.000 0.500 0.000
```

* total moment: 0.000 μB per atom
* raw total energy: -116.56 eV/cell
* SG: No. 123

Record 4
HoTm2Ru2: optimized geometry, GGA-PBE.

Structure (POSCAR):
```
HoTm2Ru2
1.0
-2.739 3.178 1.291
-4.184 -3.281 -0.798
3.757 -0.820 9.987
Tm Ho Ru
4 2 4
direct
0.750 0.717 0.473
0.250 0.283 0.527
0.250 0.776 0.887
0.750 0.224 0.113
0.250 0.792 0.221
0.750 0.208 0.779
0.750 0.682 0.047
0.750 0.103 0.350
0.250 0.897 0.650
0.250 0.318 0.953
```

* total moment: 0.000 μB per atom
* raw total energy: -66.83 eV/cell
* ΔE to the lowest computed polymorph: 107 meV/atom
* SG: No. 11